1.
## Ba2CaTeO6 (GGA-PBE)

Data for an optimized crystal structure of Ba2CaTeO6.

Computed properties:
- calculated volume (Å³ per cell) = 154
- formation energy (no corrections) (kJ/mol of atoms) = -228.4
- density of states at the Fermi level (states/eV per cell) = 0.00

Lattice parameters (Å, degrees): 6.015 6.015 6.015 60.02 60.02 60.02
Fractional coordinates of all 10 atoms:
Ba (0.250, 0.250, 0.250)
Ba (0.750, 0.750, 0.750)
Ca (0.000, 0.000, 0.000)
Te (0.500, 0.500, 0.500)
O (0.261, 0.730, 0.279)
O (0.270, 0.721, 0.739)
O (0.279, 0.261, 0.730)
O (0.721, 0.739, 0.270)
O (0.730, 0.279, 0.261)
O (0.739, 0.270, 0.721)



2.
## Ba3CaTe2O9 (GGA-PBE)

Data for an optimized crystal structure of Ba3CaTe2O9.

Computed properties:
- calculated volume (Å³ per cell) = 237
- formation energy (no corrections) (kJ/mol of atoms) = -207.9

Lattice parameters (Å, degrees): 6.082 6.082 7.411 90.00 90.00 120.00
Fractional coordinates of all 15 atoms:
Ba (0.000, 0.000, 0.000)
Ba (0.333, 0.667, 0.671)
Ba (0.667, 0.333, 0.329)
Ca (0.000, 0.000, 0.500)
Te (0.333, 0.667, 0.172)
Te (0.667, 0.333, 0.828)
O (0.000, 0.500, 0.000)
O (0.179, 0.358, 0.322)
O (0.179, 0.821, 0.322)
O (0.358, 0.179, 0.678)
O (0.500, 0.000, 0.000)
O (0.500, 0.500, 0.000)
O (0.642, 0.821, 0.322)
O (0.821, 0.179, 0.678)
O (0.821, 0.642, 0.678)